Density functional theory data (PBE) for a geometry-optimized CuTeAu2 structure.

Structure (POSCAR):
```
CuTeAu2
1.0
-1.186 -0.344 -3.916
-3.953 -0.403 1.232
-0.521 4.405 -0.230
Au Te Cu
2 1 1
Direct
0.000 0.000 0.000 Au
0.500 0.500 0.000 Au
0.000 0.500 0.500 Te
0.500 0.000 0.500 Cu
```

Calculated values
**E_form (uncorrected)**: 0.148 eV per atom
**Space group**: No. 47